Density functional theory data (GGA-PBE) for Ac2CoAg after structural relaxation.

```
Ac2CoAg
1.0
5.402 0.000 0.000
2.701 4.678 0.000
2.701 1.559 4.411
Ag Co Ac
1 1 2
direct
0.500 0.500 0.500
0.000 0.000 0.000
0.750 0.750 0.750
0.250 0.250 0.250
```

Energy of formation: 31.6 meV per atom
Energy above the lowest structure with this stoichiometry: 150 meV/atom
Space group: Fm-3m

Density functional theory data (GGA-PBE) for SnPd4Pt7 after structural relaxation.

```
SnPd4Pt7
1.0
5.412 1.482 0.619
4.059 5.975 1.855
-0.810 -0.438 7.110
Pd Pt Sn
4 7 1
direct
0.477 0.272 0.670
0.272 0.227 0.333
0.523 0.728 0.330
0.728 0.773 0.667
0.250 0.499 0.003
0.979 0.271 0.668
0.021 0.729 0.332
0.500 0.000 0.000
0.750 0.501 0.997
0.234 0.767 0.663
0.766 0.233 0.337
0.000 0.000 0.000
```

Energy of formation: -119.2 meV per atom
Space group: P-1

Density functional theory data (GGA-PBE) for K2In4GaPb3 after structural relaxation.

```
K2In4GaPb3
1.0
5.173 0.000 0.000
0.000 5.173 0.000
0.000 0.000 12.510
Ga In K Pb
1 4 2 3
direct
0.500 0.500 0.500
0.000 0.000 0.000
0.500 0.500 0.000
0.000 0.500 0.376
0.500 0.000 0.624
0.500 0.000 0.254
0.000 0.500 0.746
0.000 0.000 0.500
0.000 0.500 0.137
0.500 0.000 0.863
```

Energy of formation: -76.8 meV per atom
Space group: P-4m2

Density functional theory data (GGA-PBE) for Y2ScCdAu4 after structural relaxation.

```
Y2ScCdAu4
1.0
4.937 0.000 0.000
2.468 4.275 0.000
2.468 1.425 8.202
Au Y Cd Sc
4 2 1 1
direct
0.618 0.618 0.145
0.382 0.382 0.855
0.136 0.136 0.592
0.864 0.864 0.408
0.744 0.744 0.767
0.256 0.256 0.233
0.000 0.000 0.000
0.500 0.500 0.500
```

Energy of formation: -775.1 meV per atom
Space group: R-3m

Density functional theory data (GGA-PBE) for Mg2ZrTl after structural relaxation.

```
Mg2ZrTl
1.0
5.975 0.232 0.807
5.073 3.165 0.807
1.881 0.579 5.488
Zr Mg Tl
1 2 1
direct
0.752 0.752 0.648
0.002 0.002 0.090
0.247 0.247 0.156
0.499 0.499 0.606
```

Energy of formation: 17.7 meV per atom
Energy above the lowest structure with this stoichiometry: 127 meV/atom
Space group: Cm

Density functional theory data (GGA-PBE) for BeCr2Cd after structural relaxation.

```
BeCr2Cd
1.0
-1.867 4.548 0.185
-1.918 -3.595 2.758
1.211 0.670 2.146
Cr Cd Be
2 1 1
direct
0.000 0.000 0.000
0.500 0.500 0.000
0.000 0.500 0.500
0.500 0.000 0.500
```

Energy of formation: 567.3 meV per atom
Energy above the lowest structure with this stoichiometry: 320 meV/atom
Space group: C2/m

Density functional theory data (GGA-PBE) for MgSeI after structural relaxation.

```
MgSeI
1.0
-4.018 0.610 -1.108
1.762 -3.904 -0.538
-1.548 0.776 6.095
Se Mg I
1 1 1
direct
0.649 0.771 0.460
0.276 0.025 0.310
0.657 0.789 0.951
```

Energy above the lowest structure with this stoichiometry: 105 meV/atom
Formation energy from raw total energies: -0.75 eV/atom
Space group: P1

Density functional theory data (GGA-PBE) for CdBO2F after structural relaxation.

```
CdBO2F
1.0
-1.616 -1.581 2.519
2.603 0.633 2.068
-1.641 3.340 1.044
O Cd F B
2 1 1 1
direct
0.000 0.500 0.000
0.500 0.000 0.000
0.500 0.500 0.500
0.000 0.000 0.500
0.000 0.000 0.000
```

Formation energy from raw total energies: -0.99 eV/atom
Space group: P4/mmm